# 1
## Tb4CoPt (PBE)

Data for a relaxed Tb4CoPt crystal.

Geometry as CIF:
```
data_Tb4CoPt
_symmetry_space_group_name_H-M 'P 1'
_symmetry_Int_Tables_number 1
_symmetry_space_group_name_Hall 'P 1'
_cell_length_a 7.9568
_cell_length_b 7.9568
_cell_length_c 6.2390
_cell_angle_alpha 107.98
_cell_angle_beta 107.98
_cell_angle_gamma 112.93
loop_
_atom_site_label
_atom_site_type_symbol
_atom_site_fract_x
_atom_site_fract_y
_atom_site_fract_z
Tb1 Tb 0.0529 0.6923 0.8995
Tb2 Tb 0.2293 0.3487 0.7169
Tb3 Tb 0.3077 0.9471 0.6005
Tb4 Tb 0.3487 0.2293 0.2169
Tb5 Tb 0.6513 0.7707 0.7831
Tb6 Tb 0.6923 0.0529 0.3995
Tb7 Tb 0.7707 0.6513 0.2831
Tb8 Tb 0.9471 0.3077 0.1005
Co1 Co 0.0044 0.9956 0.2500
Co2 Co 0.9956 0.0044 0.7500
Pt1 Pt 0.3633 0.6367 0.2500
Pt2 Pt 0.6367 0.3633 0.7500
```

Properties
Formation energy: -0.5047 eV/atom
Energy relative to the lowest polymorph listed for this composition: 0 meV/atom
DOS(E_F): 1.16 states/eV per atom
Space group: C2/c (15)
Spin magnetization: 0.0 μB/f.u.

# 2
## Tb2CoPt (PBE)

Data for a relaxed Tb2CoPt crystal.

Geometry as CIF:
```
data_Tb2CoPt
_symmetry_space_group_name_H-M 'P 1'
_symmetry_Int_Tables_number 1
_symmetry_space_group_name_Hall 'P 1'
_cell_length_a 3.4241
_cell_length_b 3.4241
_cell_length_c 6.8998
_cell_angle_alpha 90.00
_cell_angle_beta 90.00
_cell_angle_gamma 90.00
loop_
_atom_site_label
_atom_site_type_symbol
_atom_site_fract_x
_atom_site_fract_y
_atom_site_fract_z
Tb1 Tb 0.0000 0.0000 0.2412
Tb2 Tb 0.0000 0.0000 0.7588
Co1 Co 0.5000 0.5000 0.0000
Pt1 Pt 0.5000 0.5000 0.5000
```

Properties
Formation energy: -0.6678 eV/atom
DOS(E_F): 0.31 states/eV per atom
Space group: P4/mmm (123)
Spin magnetization: 0.3 μB/f.u.